Entry 1:
The following is a GGA-PBE calculation of a geometry-optimized SrTaGe2 structure, from Alexandria.

Output
Crystal system: trigonal
Magnetic moment, μB/cell: 0.00
DFT formation energy, eV per atom: -0.152
E, eV per atom: -5.84

Cell and atoms, written as CIF:
```
data_SrTaGe2
_cell_length_a 3.8007
_cell_length_b 3.8007
_cell_length_c 22.4485
_cell_angle_alpha 90.00
_cell_angle_beta 90.00
_cell_angle_gamma 120.00
_symmetry_space_group_name_H-M 'R -3 m'
_symmetry_Int_Tables_number 166
_symmetry_space_group_name_Hall '-R 3 2"'
loop_
_atom_site_label
_atom_site_fract_x
_atom_site_fract_y
_atom_site_fract_z
Sr1 0.0000 0.0000 0.0000
Ta1 0.0000 0.0000 0.5000
Ge1 0.0000 0.0000 0.2349
```

Entry 2:
The following is a GGA-PBE calculation of a geometry-optimized Sr2TaGe2 structure, from Alexandria.

Output
Crystal system: tetragonal
Magnetic moment, μB/cell: 2.28
DFT formation energy, eV per atom: -0.069
E, eV per atom: -4.96

Cell and atoms, written as CIF:
```
data_Sr2TaGe2
_cell_length_a 7.231
_cell_length_b 7.231
_cell_length_c 4.931
_cell_angle_alpha 90.00
_cell_angle_beta 90.00
_cell_angle_gamma 90.00
_symmetry_space_group_name_H-M 'P 4/m b m'
_symmetry_Int_Tables_number 127
_symmetry_space_group_name_Hall '-P 4 2ab'
loop_
_atom_site_label
_atom_site_fract_x
_atom_site_fract_y
_atom_site_fract_z
Sr1 0.173 0.327 0.000
Ta1 0.000 0.000 0.500
Ge1 0.137 0.637 0.500
```

Entry 3:
The following is a GGA-PBE calculation of a geometry-optimized SrTaGe2 structure, from Alexandria.

Output
Crystal system: tetragonal
Magnetic moment, μB/cell: 0.00
DFT formation energy, eV per atom: 0.137
E, eV per atom: -5.56

Cell and atoms, written as CIF:
```
data_SrTaGe2
_cell_length_a 5.363
_cell_length_b 5.363
_cell_length_c 16.934
_cell_angle_alpha 90.00
_cell_angle_beta 90.00
_cell_angle_gamma 90.00
_symmetry_space_group_name_H-M 'I -4 2 d'
_symmetry_Int_Tables_number 122
_symmetry_space_group_name_Hall 'I -4 2bw'
loop_
_atom_site_label
_atom_site_fract_x
_atom_site_fract_y
_atom_site_fract_z
Sr1 0.000 0.000 0.000
Ta1 0.000 0.000 0.500
Ge1 0.036 0.250 0.625
```

Entry 4:
The following is a GGA-PBE calculation of a geometry-optimized Sr2TaGeTe structure, from Alexandria.

Output
Crystal system: tetragonal
Magnetic moment, μB/cell: 0.58
E_form (uncorrected), eV/atom: 0.6298
E, eV per atom: -3.97

Cell and atoms, written as CIF:
```
data_Sr2TaGeTe
_cell_length_a 6.180
_cell_length_b 6.180
_cell_length_c 5.183
_cell_angle_alpha 90.00
_cell_angle_beta 90.00
_cell_angle_gamma 90.00
_symmetry_space_group_name_H-M 'P 4/m m m'
_symmetry_Int_Tables_number 123
_symmetry_space_group_name_Hall '-P 4 2'
loop_
_atom_site_label
_atom_site_fract_x
_atom_site_fract_y
_atom_site_fract_z
Sr1 0.000 0.500 0.000
Ta1 0.000 0.000 0.000
Ge1 0.500 0.500 0.500
Te1 0.000 0.000 0.500
```

Entry 5:
The following is a GGA-PBE calculation of a geometry-optimized SrTbGe4 structure, from Alexandria.

Output
Crystal system: cubic
Magnetic moment, μB/cell: 0.00
DFT formation energy, eV per atom: -0.314
E, eV per atom: -4.44

Cell and atoms, written as CIF:
```
data_SrTbGe4
_cell_length_a 8.153
_cell_length_b 8.153
_cell_length_c 8.153
_cell_angle_alpha 90.00
_cell_angle_beta 90.00
_cell_angle_gamma 90.00
_symmetry_space_group_name_H-M 'F -4 3 m'
_symmetry_Int_Tables_number 216
_symmetry_space_group_name_Hall 'F -4 2 3'
loop_
_atom_site_label
_atom_site_fract_x
_atom_site_fract_y
_atom_site_fract_z
Sr1 0.000 0.000 0.000
Tb1 0.250 0.250 0.250
Ge1 0.123 0.123 0.623
```

Entry 6:
The following is a GGA-PBE calculation of a geometry-optimized SrTb2Zn2Ge2 structure, from Alexandria.

Output
Crystal system: trigonal
Magnetic moment, μB/cell: 0.01
DFT formation energy, eV per atom: -0.398
E, eV per atom: -3.64

Cell and atoms, written as CIF:
```
data_SrTb2Zn2Ge2
_cell_length_a 4.2211
_cell_length_b 4.2211
_cell_length_c 34.7460
_cell_angle_alpha 90.00
_cell_angle_beta 90.00
_cell_angle_gamma 120.00
_symmetry_space_group_name_H-M 'R -3 m'
_symmetry_Int_Tables_number 166
_symmetry_space_group_name_Hall '-R 3 2"'
loop_
_atom_site_label
_atom_site_fract_x
_atom_site_fract_y
_atom_site_fract_z
Sr1 0.0000 0.0000 0.0000
Tb1 0.0000 0.0000 0.1245
Zn1 0.0000 0.0000 0.4055
Ge1 0.0000 0.0000 0.2665
```

Entry 7:
The following is a GGA-PBE calculation of a geometry-optimized SrTc3Ge structure, from Alexandria.

Output
E above lowest polymorph, eV/atom: 0.000
Crystal system: cubic
Magnetic moment, μB/cell: 3.64
DFT formation energy, eV per atom: 0.983
E, eV per atom: -6.50

Cell and atoms, written as CIF:
```
data_SrTc3Ge
_cell_length_a 4.738
_cell_length_b 4.738
_cell_length_c 4.738
_cell_angle_alpha 90.00
_cell_angle_beta 90.00
_cell_angle_gamma 90.00
_symmetry_space_group_name_H-M 'P m -3 m'
_symmetry_Int_Tables_number 221
_symmetry_space_group_name_Hall '-P 4 2 3'
loop_
_atom_site_label
_atom_site_fract_x
_atom_site_fract_y
_atom_site_fract_z
Sr1 0.000 0.000 0.000
Tc1 0.000 0.500 0.500
Ge1 0.500 0.500 0.500
```

Entry 8:
The following is a GGA-PBE calculation of a geometry-optimized SrTcGe2 structure, from Alexandria.

Output
E above lowest polymorph, eV/atom: 0.003
Crystal system: tetragonal
Magnetic moment, μB/cell: 0.00
DFT formation energy, eV per atom: -0.231
E, eV per atom: -5.55

Cell and atoms, written as CIF:
```
data_SrTcGe2
_cell_length_a 3.276
_cell_length_b 3.276
_cell_length_c 7.276
_cell_angle_alpha 90.00
_cell_angle_beta 90.00
_cell_angle_gamma 90.00
_symmetry_space_group_name_H-M 'P 4/m m m'
_symmetry_Int_Tables_number 123
_symmetry_space_group_name_Hall '-P 4 2'
loop_
_atom_site_label
_atom_site_fract_x
_atom_site_fract_y
_atom_site_fract_z
Sr1 0.000 0.000 0.000
Tc1 0.000 0.000 0.500
Ge1 0.500 0.500 0.313
```